{"formula": "BeZn2Au", "functional": "PBE-GGA", "state": "relaxed", "lattice": [[3.152, 0.000, 0.000], [0.000, 3.152, 0.000], [0.000, 0.000, 5.648]], "species": ["Be", "Zn", "Zn", "Au"], "fractional_positions": [[0.000, 0.000, 0.000], [0.000, 0.000, 0.507], [0.500, 0.500, 0.753], [0.500, 0.500, 0.212]], "space_group": "No. 99", "magmom_total_mub_per_cell": 0.0, "dos_ef_per_ev_atom": 0.213, "ef_mev_per_atom": -19}